1.
Material: MnCu2Pt2
Method: DFT, PBE
State: optimized geometry

abc: 7.096 7.096 2.976
angles: 90.00 90.00 90.00
Element x y z (fractional)
Mn: 0.000 0.000 0.000
Mn: 0.500 0.500 0.000
Cu: 0.158 0.342 0.500
Cu: 0.342 0.842 0.500
Cu: 0.658 0.158 0.500
Cu: 0.842 0.658 0.500
Pt: 0.141 0.641 0.000
Pt: 0.359 0.141 0.000
Pt: 0.641 0.859 0.000
Pt: 0.859 0.359 0.000

Output
VASP energy in eV/atom: -5.9123
M_tot in μB/cell: 9.01
E_form in eV/f.u.: -0.12
DOS at the Fermi energy in states/eV/f.u.: 2.44

=====

2.
Material: ZrTlSb4
Method: DFT, PBE
State: optimized geometry

abc: 6.205 6.205 6.205
angles: 60.00 60.00 60.00
Element x y z (fractional)
Zr: 0.000 0.000 0.000
Tl: 0.250 0.250 0.250
Sb: 0.123 0.626 0.626
Sb: 0.626 0.123 0.626
Sb: 0.626 0.626 0.123
Sb: 0.626 0.626 0.626

Output
VASP energy in eV/atom: -4.2638
M_tot in μB/cell: 0.00
Formation energy (no corrections) in eV per formula unit: 1.8
DOS at the Fermi energy in states/eV/f.u.: 5.71

=====

3.
Material: Ac8Se8N3
Method: DFT, PBE
State: optimized geometry

abc: 11.946 11.946 9.176
angles: 105.83 105.83 30.94
Element x y z (fractional)
Ac: 0.032 0.032 0.293
Ac: 0.214 0.214 0.832
Ac: 0.322 0.322 0.558
Ac: 0.397 0.397 0.003
Ac: 0.603 0.603 0.997
Ac: 0.678 0.678 0.442
Ac: 0.786 0.786 0.168
Ac: 0.968 0.968 0.707
Se: 0.089 0.089 0.976
Se: 0.175 0.175 0.477
Se: 0.299 0.299 0.180
Se: 0.461 0.461 0.742
Se: 0.539 0.539 0.258
Se: 0.701 0.701 0.820
Se: 0.825 0.825 0.523
Se: 0.911 0.911 0.024
N: 0.000 0.000 0.500
N: 0.309 0.309 0.798
N: 0.691 0.691 0.202

Output
VASP energy in eV/atom: -6.1662
M_tot in μB/cell: 1.05
Formation energy (no corrections) in eV per formula unit: -31.4
DOS at the Fermi energy in states/eV/f.u.: 1.77

=====

4.
Material: LaIn2CuPd4
Method: DFT, PBE
State: optimized geometry

abc: 8.995 8.995 8.995
angles: 29.36 29.36 29.36
Element x y z (fractional)
La: 0.000 0.000 0.000
In: 0.237 0.237 0.237
In: 0.763 0.763 0.763
Cu: 0.500 0.500 0.500
Pd: 0.130 0.130 0.130
Pd: 0.400 0.400 0.400
Pd: 0.600 0.600 0.600
Pd: 0.870 0.870 0.870

Output
VASP energy in eV/atom: -4.9497
M_tot in μB/cell: 0.00
E_form in eV/f.u.: -4.33
DOS at the Fermi energy in states/eV/f.u.: 4.69

=====

5.
Material: KFe2Cu
Method: DFT, PBE
State: optimized geometry

abc: 4.277 4.277 7.097
angles: 94.65 94.65 37.24
Element x y z (fractional)
K: 0.000 0.000 0.000
Fe: 0.225 0.225 0.639
Fe: 0.497 0.497 0.500
Cu: 0.765 0.765 0.348

Output
VASP energy in eV/atom: -4.8553
M_tot in μB/cell: 5.40
E_form in eV/f.u.: 2.70
DOS at the Fermi energy in states/eV/f.u.: 3.82

=====

6.
Material: MnFeCuMoAu
Method: DFT, PBE
State: optimized geometry

abc: 4.684 4.684 6.063
angles: 129.11 129.11 47.10
Element x y z (fractional)
Mn: 0.000 0.000 0.000
Fe: 0.197 0.197 0.797
Cu: 0.595 0.595 0.386
Mo: 0.795 0.795 0.164
Au: 0.391 0.391 0.586

Output
VASP energy in eV/atom: -6.9771
M_tot in μB/cell: 4.45
E_form in eV/f.u.: 0.95
DOS at the Fermi energy in states/eV/f.u.: 4.02

=====

> Which of these has the highest VASP energy?

ZrTlSb4

=====

> What is the DOS at the Fermi energy in the first record?

2.44 states/eV/f.u.

=====

Repeat the third record exactly.
Material: Ac8Se8N3
Method: DFT, PBE
State: optimized geometry

abc: 11.946 11.946 9.176
angles: 105.83 105.83 30.94
Element x y z (fractional)
Ac: 0.032 0.032 0.293
Ac: 0.214 0.214 0.832
Ac: 0.322 0.322 0.558
Ac: 0.397 0.397 0.003
Ac: 0.603 0.603 0.997
Ac: 0.678 0.678 0.442
Ac: 0.786 0.786 0.168
Ac: 0.968 0.968 0.707
Se: 0.089 0.089 0.976
Se: 0.175 0.175 0.477
Se: 0.299 0.299 0.180
Se: 0.461 0.461 0.742
Se: 0.539 0.539 0.258
Se: 0.701 0.701 0.820
Se: 0.825 0.825 0.523
Se: 0.911 0.911 0.024
N: 0.000 0.000 0.500
N: 0.309 0.309 0.798
N: 0.691 0.691 0.202

Output
VASP energy in eV/atom: -6.1662
M_tot in μB/cell: 1.05
Formation energy (no corrections) in eV per formula unit: -31.4
DOS at the Fermi energy in states/eV/f.u.: 1.77

=====

> VASP energy of number 4 (LaIn2CuPd4)?

-4.9497 eV/atom